AlTc2Mo: optimized geometry, GGA-PBE. Values from VASP.

Geometry as Quantum ESPRESSO input:
```
&SYSTEM
  ibrav = 0, nat = 4, ntyp = 3
/
ATOMIC_SPECIES
Mo 95.94 Mo.upf
Tc 98.00 Tc.upf
Al 26.98 Al.upf
ATOMIC_POSITIONS crystal
Mo 0.5000 0.5000 0.7462
Tc 0.0000 0.0000 0.0154
Tc 0.5000 0.5000 0.2501
Al 0.0000 0.0000 0.4882
CELL_PARAMETERS angstrom
2.8530 0.0000 0.0000
0.0000 2.8530 0.0000
0.0000 0.0000 7.2770
```

=====

AlTc2Mo: optimized geometry, GGA-PBE. Values from VASP.

Geometry as Quantum ESPRESSO input:
```
&SYSTEM
  ibrav = 0, nat = 4, ntyp = 3
/
ATOMIC_SPECIES
Mo 95.94 Mo.upf
Tc 98.00 Tc.upf
Al 26.98 Al.upf
ATOMIC_POSITIONS crystal
Mo 0.0000 0.5000 0.5000
Tc 0.0000 0.0000 0.0000
Tc 0.5000 0.5000 0.0000
Al 0.5000 0.0000 0.5000
CELL_PARAMETERS angstrom
-0.3910 -4.0024 -3.1298
4.5607 0.5762 2.1990
0.0715 -2.1134 1.7494
```

=====

AlTcMo: optimized geometry, GGA-PBE. Values from VASP.

Geometry as Quantum ESPRESSO input:
```
&SYSTEM
  ibrav = 0, nat = 3, ntyp = 3
/
ATOMIC_SPECIES
Mo 95.94 Mo.upf
Tc 98.00 Tc.upf
Al 26.98 Al.upf
ATOMIC_POSITIONS crystal
Mo 0.3320 0.3320 0.6680
Tc 0.6659 0.6659 0.3341
Al 0.0021 0.0021 0.9979
CELL_PARAMETERS angstrom
6.8558 -0.0032 0.0023
6.1161 2.6319 0.0118
0.7397 -0.8140 2.5062
```

=====

AlTcMo: optimized geometry, GGA-PBE. Values from VASP.

Geometry as Quantum ESPRESSO input:
```
&SYSTEM
  ibrav = 0, nat = 6, ntyp = 3
/
ATOMIC_SPECIES
Al 26.98 Al.upf
Tc 98.00 Tc.upf
Mo 95.94 Mo.upf
ATOMIC_POSITIONS crystal
Al 0.4769 0.7500 0.2514
Al 0.5231 0.2500 0.7486
Tc 0.8454 0.7500 0.5772
Tc 0.1546 0.2500 0.4228
Mo 0.8778 0.2500 0.0892
Mo 0.1222 0.7500 0.9108
CELL_PARAMETERS angstrom
-2.3453 -1.4291 -0.1141
1.7863 -2.7009 -2.8866
2.5074 -4.3455 5.6177
```

=====

Values for E_form, eV/atom, ordered as above
-0.13, -0.08, -0.08, -0.18
Values for magnetic moment, μB/atom, ordered as above
0.0000, 0.0000, 0.0000, 0.0000